# 1
Density functional theory data (GGA-PBE) for a relaxed structure of Dy5MnSe4.

Lattice parameters (Å, degrees): 5.795 7.096 7.096 80.40 65.90 65.90
Element x y z (fractional)
Dy 0.503 0.000 0.000
Dy 0.290 0.809 0.613
Dy 0.098 0.613 0.191
Dy 0.903 0.387 0.809
Dy 0.711 0.191 0.387
Se 0.195 0.212 0.399
Se 0.806 0.788 0.601
Se 0.407 0.399 0.788
Se 0.594 0.601 0.212
Mn 0.003 0.000 0.000

Results
* space group: I4 (79)
* uncorrected energy: -58.87 eV/cell
* size of the total moment: 0.357 μB per atom

---

# 2
Density functional theory data (GGA-PBE) for a relaxed structure of SrLi2Mn.

Lattice parameters (Å, degrees): 4.722 4.722 6.223 67.65 67.65 60.10
Element x y z (fractional)
Mn 0.451 0.451 0.648
Li 0.756 0.756 0.732
Li 0.047 0.047 0.858
Sr 0.246 0.246 0.262

Results
* energy relative to the elements: 0.3576 eV/atom
* space group: Cm (8)
* uncorrected energy: -13.25 eV/cell
* size of the total moment: 0.957 μB per atom

---

# 3
Density functional theory data (GGA-PBE) for a relaxed structure of VNiGe.

Lattice parameters (Å, degrees): 5.264 3.637 8.324 90.00 94.67 90.00
Element x y z (fractional)
Ni 0.597 0.500 0.528
Ni 0.892 0.500 0.176
Ni 0.597 0.000 0.028
Ni 0.892 0.000 0.676
V 0.073 0.000 0.986
V 0.260 0.500 0.811
V 0.260 0.000 0.311
V 0.073 0.500 0.486
Ge 0.768 0.500 0.854
Ge 0.768 0.000 0.354
Ge 0.356 0.500 0.121
Ge 0.356 0.000 0.621

Results
* energy relative to the elements: -0.1930 eV/atom
* space group: Cm (8)
* uncorrected energy: -80.38 eV/cell
* size of the total moment: 0.000 μB per atom